Record 1
Nd2Al4SnPd3 after structural relaxation. Source: Alexandria, functional GGA-PBE.

magnetization = 0.0000 μB/atom
DFT total energy = -5.172 eV per atom

abc: 4.3477 4.3477 10.7271
angles: 90.00 90.00 90.00
Last column: nearest neighbours and their distance in Å.
Space group P-4m2 (No. 115)
Symmetry-distinct sites (fractional):
1 Nd 0.0000 0.5000 0.2411 (multiplicity 2)  8 Al 3.28-3.38, 6 Pd 3.33-3.53, 2 Sn 3.53
2 Al 0.0000 0.0000 0.0000 (multiplicity 1)  4 Pd 2.53
3 Al 0.0000 0.5000 0.6515 (multiplicity 2)  3 Pd 2.44-2.71, 2 Sn 2.71
4 Al 0.5000 0.5000 0.0000 (multiplicity 1)  4 Pd 2.53
5 Sn 0.0000 0.0000 0.5000 (multiplicity 1)  4 Al 2.71
6 Pd 0.0000 0.5000 0.8785 (multiplicity 2)  5 Al 2.44-2.53
7 Pd 0.5000 0.5000 0.5000 (multiplicity 1)  4 Al 2.71

Record 2
TbNdAl2Pd5 after structural relaxation. Source: Alexandria, functional GGA-PBE.

magnetization = 0.0000 μB/atom
DFT total energy = -5.562 eV per atom

abc: 4.2804 4.2804 9.2513
angles: 90.00 90.00 90.00
Last column: nearest neighbours and their distance in Å.
Space group P4/mmm (No. 123)
Symmetry-distinct sites (fractional):
1 Tb 0.0000 0.0000 0.0000 (multiplicity 1)  8 Al 3.29, 8 Pd 3.30
2 Nd 0.0000 0.0000 0.5000 (multiplicity 1)  12 Pd 3.01-3.03
3 Al 0.5000 0.5000 0.1404 (multiplicity 2)  4 Pd 2.46, 1 Al 2.60
4 Pd 0.0000 0.5000 0.2717 (multiplicity 4)  2 Al 2.46
5 Pd 0.5000 0.5000 0.5000 (multiplicity 1)  8 Pd 3.01, 4 Nd 3.03, 2 Al 3.33

Record 3
NdThAl2Pd5 after structural relaxation. Source: Alexandria, functional GGA-PBE.

magnetization = 0.0000 μB/atom
DFT total energy = -5.862 eV per atom

abc: 4.3766 4.3766 9.0305
angles: 90.00 90.00 90.00
Last column: nearest neighbours and their distance in Å.
Space group P4/mmm (No. 123)
Symmetry-distinct sites (fractional):
1 Nd 0.0000 0.0000 0.0000 (multiplicity 1)  12 Pd 3.00-3.09
2 Th 0.0000 0.0000 0.5000 (multiplicity 1)  8 Pd 3.29, 8 Al 3.36
3 Al 0.5000 0.5000 0.3539 (multiplicity 2)  4 Pd 2.47, 1 Al 2.64
4 Pd 0.0000 0.5000 0.2273 (multiplicity 4)  2 Al 2.47
5 Pd 0.5000 0.5000 0.0000 (multiplicity 1)  8 Pd 3.00, 4 Nd 3.09, 2 Al 3.20

Record 4
Nd2TiAl2Pd5 after structural relaxation. Source: Alexandria, functional GGA-PBE.

magnetization = 0.0000 μB/atom
DFT total energy = -5.788 eV per atom

abc: 10.5196 10.5196 3.3815
angles: 90.00 90.00 90.00
Last column: nearest neighbours and their distance in Å.
Space group P4/mbm (No. 127)
Symmetry-distinct sites (fractional):
1 Nd 0.1761 0.3239 0.0000 (multiplicity 4)  3 Al 2.94-3.22, 6 Pd 3.12-3.23
2 Ti 0.0000 0.0000 0.0000 (multiplicity 2)  8 Pd 2.73
3 Al 0.1260 0.6260 0.0000 (multiplicity 4)  6 Pd 2.52-2.63
4 Pd 0.0000 0.5000 0.5000 (multiplicity 2)  4 Al 2.52
5 Pd 0.0525 0.8028 0.5000 (multiplicity 8)  2 Al 2.63, 2 Ti 2.73

Record 5
NdTm2AlPd4 after structural relaxation. Source: Alexandria, functional GGA-PBE.

magnetization = 0.0000 μB/atom
DFT total energy = -5.620 eV per atom

abc: 4.7715 4.7715 24.6722
angles: 90.00 90.00 120.00
Last column: nearest neighbours and their distance in Å.
Space group R-3m (No. 166, hexagonal axes)
Symmetry-distinct sites (fractional):
1 Nd 0.0000 0.0000 0.0000 (multiplicity 3)  8 Pd 3.14-3.19
2 Tm 0.0000 0.0000 0.2420 (multiplicity 6)  7 Pd 2.78-2.91
3 Al 0.0000 0.0000 0.5000 (multiplicity 3)  8 Pd 2.60-2.91
4 Pd 0.0000 0.0000 0.1293 (multiplicity 6)  4 Tm 2.78-2.91, 3 Al 2.91
5 Pd 0.0000 0.0000 0.3947 (multiplicity 6)  1 Al 2.60, 3 Tm 2.85

Record 6
NdTmAl2Pd5 after structural relaxation. Source: Alexandria, functional GGA-PBE.

magnetization = 0.0000 μB/atom
DFT total energy = -5.536 eV per atom

abc: 4.2556 4.2556 9.2556
angles: 90.00 90.00 90.00
Last column: nearest neighbours and their distance in Å.
Space group P4/mmm (No. 123)
Symmetry-distinct sites (fractional):
1 Nd 0.0000 0.0000 0.0000 (multiplicity 1)  12 Pd 3.01
2 Tm 0.0000 0.0000 0.5000 (multiplicity 1)  8 Al 3.27, 8 Pd 3.28
3 Al 0.5000 0.5000 0.3620 (multiplicity 2)  4 Pd 2.45, 1 Al 2.55
4 Pd 0.0000 0.5000 0.2302 (multiplicity 4)  2 Al 2.45
5 Pd 0.5000 0.5000 0.0000 (multiplicity 1)  4 Nd 3.01, 8 Pd 3.01, 2 Al 3.35

Record 7
NdY2AlPd4 after structural relaxation. Source: Alexandria, functional GGA-PBE.

magnetization = 0.0000 μB/atom
DFT total energy = -6.076 eV per atom

abc: 4.8464 4.8464 24.4707
angles: 90.00 90.00 120.00
Last column: nearest neighbours and their distance in Å.
Space group R-3m (No. 166, hexagonal axes)
Symmetry-distinct sites (fractional):
1 Nd 0.0000 0.0000 0.0000 (multiplicity 3)  8 Pd 3.12-3.16
2 Y 0.0000 0.0000 0.2429 (multiplicity 6)  7 Pd 2.82-2.94
3 Al 0.0000 0.0000 0.5000 (multiplicity 3)  2 Pd 2.62
4 Pd 0.0000 0.0000 0.1277 (multiplicity 6)  4 Y 2.82-2.94, 3 Al 2.96, 1 Nd 3.12
5 Pd 0.0000 0.0000 0.3931 (multiplicity 6)  1 Al 2.62, 3 Y 2.90

Record 8
NdYAl2Pd5 after structural relaxation. Source: Alexandria, functional GGA-PBE.

magnetization = 0.0000 μB/atom
DFT total energy = -5.771 eV per atom

abc: 4.2721 4.2721 9.2675
angles: 90.00 90.00 90.00
Last column: nearest neighbours and their distance in Å.
Space group P4/mmm (No. 123)
Symmetry-distinct sites (fractional):
1 Nd 0.0000 0.0000 0.0000 (multiplicity 1)  12 Pd 3.01-3.02
2 Y 0.0000 0.0000 0.5000 (multiplicity 1)  8 Al 3.29, 8 Pd 3.30
3 Al 0.5000 0.5000 0.3602 (multiplicity 2)  4 Pd 2.46, 1 Al 2.59
4 Pd 0.0000 0.5000 0.2284 (multiplicity 4)  2 Al 2.46
5 Pd 0.5000 0.5000 0.0000 (multiplicity 1)  8 Pd 3.01, 4 Nd 3.02, 2 Al 3.34

Record 9
NdAl4Zn2Pd after structural relaxation. Source: Alexandria, functional GGA-PBE.

magnetization = 0.0000 μB/atom
DFT total energy = -3.819 eV per atom

abc: 4.3344 4.3344 27.2804
angles: 90.00 90.00 120.00
Last column: nearest neighbours and their distance in Å.
Space group R-3m (No. 166, hexagonal axes)
Symmetry-distinct sites (fractional):
1 Nd 0.0000 0.0000 0.0000 (multiplicity 3)  6 Zn 3.18, 6 Al 3.20
2 Al 0.0000 0.0000 0.1323 (multiplicity 6)  3 Pd 2.67, 3 Al 2.98
3 Al 0.0000 0.0000 0.4066 (multiplicity 6)  3 Zn 2.50, 1 Pd 2.55
4 Zn 0.0000 0.0000 0.2614 (multiplicity 6)  3 Al 2.50
5 Pd 0.0000 0.0000 0.5000 (multiplicity 3)  8 Al 2.55-2.67

Record 10
Nd2AlZn3Pd4 after structural relaxation. Source: Alexandria, functional GGA-PBE.

magnetization = 0.0000 μB/atom
DFT total energy = -4.454 eV per atom

abc: 4.2446 4.2446 10.6812
angles: 90.00 90.00 90.00
Last column: nearest neighbours and their distance in Å.
Space group P-4m2 (No. 115)
Symmetry-distinct sites (fractional):
1 Nd 0.0000 0.5000 0.2441 (multiplicity 2)  6 Zn 3.23-3.46, 8 Pd 3.28-3.36, 2 Al 3.46
2 Al 0.0000 0.0000 0.5000 (multiplicity 1)  4 Pd 2.55
3 Zn 0.0000 0.5000 0.8669 (multiplicity 2)  5 Pd 2.51-2.55
4 Zn 0.5000 0.5000 0.5000 (multiplicity 1)  4 Pd 2.55
5 Pd 0.0000 0.0000 0.0000 (multiplicity 1)  4 Zn 2.55
6 Pd 0.0000 0.5000 0.6320 (multiplicity 2)  3 Zn 2.51-2.55, 2 Al 2.55
7 Pd 0.5000 0.5000 0.0000 (multiplicity 1)  4 Zn 2.55

Record 11
Nd2Al4ZnPd3 after structural relaxation. Source: Alexandria, functional GGA-PBE.

magnetization = 0.0000 μB/atom
DFT total energy = -4.884 eV per atom

abc: 4.3043 4.3043 10.5234
angles: 90.00 90.00 90.00
Last column: nearest neighbours and their distance in Å.
Space group P-4m2 (No. 115)
Symmetry-distinct sites (fractional):
1 Nd 0.0000 0.5000 0.2486 (multiplicity 2)  8 Al 3.28-3.41, 6 Pd 3.30-3.39, 2 Zn 3.39
2 Al 0.0000 0.0000 0.5000 (multiplicity 1)  4 Pd 2.55
3 Al 0.0000 0.5000 0.8681 (multiplicity 2)  3 Pd 2.51-2.56, 2 Zn 2.56
4 Al 0.5000 0.5000 0.5000 (multiplicity 1)  4 Pd 2.55
5 Zn 0.5000 0.5000 0.0000 (multiplicity 1)  4 Al 2.56
6 Pd 0.0000 0.0000 0.0000 (multiplicity 1)  4 Al 2.56
7 Pd 0.0000 0.5000 0.6300 (multiplicity 2)  5 Al 2.51-2.55

Record 12
NdAlZnPd after structural relaxation. Source: Alexandria, functional GGA-PBE.

relative energy among the computed polymorphs = 0.056 eV/atom
magnetization = 0.0000 μB/atom

abc: 6.7880 6.7880 6.7880
angles: 90.00 90.00 90.00
Last column: nearest neighbours and their distance in Å.
Space group F-43m (No. 216)
Symmetry-distinct sites (fractional):
1 Nd 0.0000 0.0000 0.0000 (multiplicity 4)  4 Pd 2.94, 4 Zn 2.94
2 Al 0.0000 0.0000 0.5000 (multiplicity 4)  4 Pd 2.94, 4 Zn 2.94
3 Zn 0.2500 0.2500 0.2500 (multiplicity 4)  4 Nd 2.94, 4 Al 2.94
4 Pd 0.2500 0.2500 0.7500 (multiplicity 4)  4 Nd 2.94, 4 Al 2.94

- Which value of magnetization does entry 12 give?
  0.0000 μB/atom